Entry 1:
CaGa3IrPd | PBE | relaxed

a b c (Å): 5.729 7.984 6.785
angles (deg): 126.04 90.00 90.00
Positions (direct):
Ca: 0.250 0.794 0.588
Ca: 0.750 0.206 0.412
Ir: 0.250 0.082 0.165
Ir: 0.750 0.918 0.835
Ga: 0.750 0.701 0.401
Ga: 0.000 0.236 0.000
Ga: 0.500 0.764 0.000
Ga: 0.500 0.236 0.000
Ga: 0.250 0.299 0.599
Ga: 0.000 0.764 0.000
Pd: 0.250 0.519 0.039
Pd: 0.750 0.481 0.961

Output
The value obtained for the calculated density is 7.25 g/cm³. The value obtained for the total magnetic moment is 0.0000 μB per atom. The value obtained for the energy of formation from the pure elements is -448 meV per atom. The total energy comes out at -55.64 eV/cell.



Entry 2:
CaGa4IrPd2 | PBE | relaxed

a b c (Å): 4.276 4.276 9.405
angles (deg): 76.86 76.86 60.00
Positions (direct):
Pd: 0.236 0.236 0.293
Pd: 0.764 0.764 0.707
Ga: 0.866 0.866 0.402
Ga: 0.134 0.134 0.598
Ga: 0.401 0.401 0.796
Ga: 0.599 0.599 0.204
Ca: 0.000 0.000 0.000
Ir: 0.500 0.500 0.500

Output
The value obtained for the calculated density is 8.37 g/cm³. The value obtained for the total magnetic moment is 0.0000 μB per atom. The value obtained for the energy of formation from the pure elements is -539 meV per atom. The total energy comes out at -37.67 eV/cell.



Entry 3:
Ca2Ga5Ir2Pd | PBE | relaxed

a b c (Å): 3.737 9.947 9.947
angles (deg): 90.00 90.00 90.00
Positions (direct):
Ga: 0.500 0.197 0.059
Ga: 0.500 0.441 0.303
Ga: 0.500 0.803 0.941
Ga: 0.500 0.697 0.441
Ga: 0.500 0.000 0.500
Ga: 0.500 0.500 0.000
Ga: 0.500 0.059 0.803
Ga: 0.500 0.941 0.197
Ga: 0.500 0.303 0.559
Ga: 0.500 0.559 0.697
Ir: 0.000 0.621 0.879
Ir: 0.000 0.379 0.121
Ir: 0.000 0.121 0.621
Ir: 0.000 0.879 0.379
Ca: 0.000 0.679 0.179
Ca: 0.000 0.179 0.321
Ca: 0.000 0.821 0.679
Ca: 0.000 0.321 0.821
Pd: 0.000 0.000 0.000
Pd: 0.000 0.500 0.500

Output
The value obtained for the calculated density is 8.26 g/cm³. The value obtained for the total magnetic moment is 0.0000 μB per atom. The value obtained for the energy of formation from the pure elements is -440 meV per atom. The total energy comes out at -92.90 eV/cell.



Entry 4:
CaPmGaIr | PBE | relaxed

a b c (Å): 5.021 5.021 5.021
angles (deg): 60.00 60.00 60.00
Positions (direct):
Pm: 0.500 0.500 0.500
Ca: 0.000 0.000 0.000
Ga: 0.250 0.250 0.250
Ir: 0.750 0.750 0.750

Output
The value obtained for the calculated density is 8.29 g/cm³. The value obtained for the total magnetic moment is 0.0000 μB per atom. The energy above the most stable polymorph in this dataset is 130 meV/atom. The value obtained for the energy of formation from the pure elements is -455 meV per atom. The total energy comes out at -20.46 eV/cell.



Entry 5:
CaPmGa2Ir2 | PBE | relaxed

a b c (Å): 4.334 4.334 7.793
angles (deg): 90.00 90.00 120.00
Positions (direct):
Ga: 0.667 0.333 0.747
Ga: 0.333 0.667 0.253
Ca: 0.000 0.000 0.500
Ir: 0.333 0.667 0.761
Ir: 0.667 0.333 0.239
Pm: 0.000 0.000 0.000

Output
The value obtained for the calculated density is 9.29 g/cm³. The value obtained for the total magnetic moment is 0.0000 μB per atom. The value obtained for the energy of formation from the pure elements is -645 meV per atom. The total energy comes out at -34.40 eV/cell.



Entry 6:
CaPmGaIr | PBE | relaxed

a b c (Å): 4.177 4.093 6.067
angles (deg): 90.00 110.14 90.00
Positions (direct):
Ca: 0.148 0.000 0.296
Ir: 0.428 0.000 0.855
Ga: 0.564 0.500 0.127
Pm: 0.861 0.500 0.721

Output
The value obtained for the calculated density is 7.62 g/cm³. The value obtained for the total magnetic moment is 0.0000 μB per atom. The energy above the most stable polymorph in this dataset is 0 meV/atom. The value obtained for the energy of formation from the pure elements is -585 meV per atom. The total energy comes out at -20.98 eV/cell.